Entry 1:
## Ag2Te2F (GGA-PBE)

Data for an optimized crystal structure of Ag2Te2F.

Geometry as POSCAR:
```
Ag2Te2F
1.0
6.198 0.000 0.000
-2.530 6.477 0.000
-0.758 -3.318 6.545
Ag Te F
4 4 2
direct
0.000 0.000 0.000
0.178 0.871 0.319
0.469 0.744 0.839
0.713 0.408 0.332
0.473 0.693 0.441
0.728 0.570 0.012
0.967 0.470 0.702
0.968 0.044 0.638
0.096 0.357 0.277
0.412 0.034 0.114
```

Properties
E_tot: -3.211 eV/atom
Fermi-level density of states: 0.2 states/eV per cell
Relative energy among the computed polymorphs: 52 meV per atom
Raw formation energy: -0.439 eV/atom
V: 26.27 A^3/atom

Entry 2:
## Ag2Te2F (GGA-PBE)

Data for an optimized crystal structure of Ag2Te2F.

Geometry as POSCAR:
```
Ag2Te2F
1.0
5.290 -3.679 0.000
5.290 3.679 0.000
-0.040 0.000 6.196
Ag Te F
4 4 2
direct
0.053 0.947 0.500
0.190 0.449 0.568
0.449 0.190 0.068
0.947 0.053 0.000
0.264 0.652 0.168
0.652 0.264 0.668
0.656 0.751 0.174
0.751 0.656 0.674
0.101 0.237 0.255
0.237 0.101 0.755
```

Properties
E_tot: -3.194 eV/atom
Fermi-level density of states: 3.0 states/eV per cell
Relative energy among the computed polymorphs: 69 meV per atom
Raw formation energy: -0.422 eV/atom
V: 24.12 A^3/atom

Entry 3:
## Ag2Te2F (GGA-PBE)

Data for an optimized crystal structure of Ag2Te2F.

Geometry as POSCAR:
```
Ag2Te2F
1.0
6.290 0.000 0.000
2.339 6.029 0.000
0.608 2.784 6.341
Ag Te F
4 4 2
direct
0.000 0.000 0.000
0.061 0.926 0.555
0.407 0.906 0.252
0.631 0.375 0.290
0.067 0.468 0.636
0.097 0.363 0.265
0.421 0.769 0.905
0.566 0.175 0.731
0.701 0.592 0.571
0.731 0.015 0.229
```

Properties
E_tot: -3.188 eV/atom
Fermi-level density of states: 1.3 states/eV per cell
Relative energy among the computed polymorphs: 75 meV per atom
Raw formation energy: -0.416 eV/atom
V: 24.05 A^3/atom

Entry 4:
## Ag2TeF (GGA-PBE)

Data for an optimized crystal structure of Ag2TeF.

Geometry as POSCAR:
```
Ag2TeF
1.0
3.226 0.000 0.000
0.000 3.226 0.000
0.000 0.000 7.328
Ag Te F
2 1 1
direct
0.000 0.000 0.201
0.000 0.000 0.799
0.500 0.500 0.500
0.500 0.500 0.000
```

Properties
E_tot: -3.070 eV/atom
Fermi-level density of states: 1.2 states/eV per cell
Relative energy among the computed polymorphs: 112 meV per atom
Raw formation energy: -0.391 eV/atom
V: 19.07 A^3/atom

Entry 5:
## Ag2Te2F (GGA-PBE)

Data for an optimized crystal structure of Ag2Te2F.

Geometry as POSCAR:
```
Ag2Te2F
1.0
3.224 0.000 0.000
0.000 6.314 0.000
-0.043 -3.140 5.585
Ag Te F
2 2 1
direct
0.000 0.000 0.000
0.500 0.371 0.998
0.000 0.475 0.442
0.001 0.031 0.555
0.500 0.728 0.997
```

Properties
E_tot: -3.193 eV/atom
Fermi-level density of states: 1.2 states/eV per cell
Relative energy among the computed polymorphs: 70 meV per atom
Raw formation energy: -0.422 eV/atom
V: 22.74 A^3/atom

Entry 6:
## AgTeF (GGA-PBE)

Data for an optimized crystal structure of AgTeF.

Geometry as POSCAR:
```
AgTeF
1.0
3.433 0.000 0.000
-1.716 2.973 0.000
0.000 0.000 6.108
Ag Te F
1 1 1
direct
0.000 0.000 0.000
0.667 0.333 0.341
0.333 0.667 0.795
```

Properties
E_tot: -3.211 eV/atom
Fermi-level density of states: 1.9 states/eV per cell
Relative energy among the computed polymorphs: 149 meV per atom
Raw formation energy: -0.590 eV/atom
V: 20.78 A^3/atom

Entry 7:
## Ag12Te3F5 (GGA-PBE)

Data for an optimized crystal structure of Ag12Te3F5.

Geometry as POSCAR:
```
Ag12Te3F5
1.0
-7.607 7.607 7.607
7.607 -7.607 7.607
7.607 7.607 -7.607
Ag Te F
48 12 20
direct
0.046 0.220 0.128
0.046 0.326 0.918
0.082 0.628 0.408
0.082 0.954 0.674
0.092 0.720 0.674
0.092 0.872 0.418
0.128 0.046 0.220
0.128 0.582 0.908
0.174 0.220 0.592
0.174 0.454 0.582
0.220 0.128 0.046
0.220 0.592 0.174
0.280 0.326 0.908
0.280 0.454 0.372
0.326 0.908 0.280
0.326 0.918 0.046
0.372 0.280 0.454
0.372 0.592 0.918
0.408 0.082 0.628
0.408 0.826 0.780
0.418 0.092 0.872
0.418 0.826 0.546
0.454 0.372 0.280
0.454 0.582 0.174
0.546 0.418 0.826
0.546 0.628 0.720
0.582 0.174 0.454
0.582 0.908 0.128
0.592 0.174 0.220
0.592 0.918 0.372
0.628 0.408 0.082
0.628 0.720 0.546
0.674 0.082 0.954
0.674 0.092 0.720
0.720 0.546 0.628
0.720 0.674 0.092
0.780 0.408 0.826
0.780 0.872 0.954
0.826 0.546 0.418
0.826 0.780 0.408
0.872 0.418 0.092
0.872 0.954 0.780
0.908 0.128 0.582
0.908 0.280 0.326
0.918 0.046 0.326
0.918 0.372 0.592
0.954 0.674 0.082
0.954 0.780 0.872
0.125 0.250 0.375
0.125 0.375 0.750
0.250 0.375 0.125
0.250 0.875 0.625
0.375 0.125 0.250
0.375 0.750 0.125
0.625 0.250 0.875
0.625 0.875 0.750
0.750 0.125 0.375
0.750 0.625 0.875
0.875 0.625 0.250
0.875 0.750 0.625
0.000 0.000 0.000
0.000 0.000 0.500
0.000 0.500 0.000
0.000 0.500 0.500
0.125 0.750 0.875
0.125 0.875 0.250
0.250 0.125 0.875
0.250 0.625 0.375
0.375 0.250 0.625
0.375 0.625 0.750
0.500 0.000 0.000
0.500 0.000 0.500
0.500 0.500 0.000
0.500 0.500 0.500
0.625 0.375 0.250
0.625 0.750 0.375
0.750 0.375 0.625
0.750 0.875 0.125
0.875 0.125 0.750
0.875 0.250 0.125
```

Properties
E_tot: -3.103 eV/atom
Fermi-level density of states: 7.3 states/eV per cell
Raw formation energy: -0.453 eV/atom
V: 22.01 A^3/atom

Entry 8:
## Ag2Te2F (GGA-PBE)

Data for an optimized crystal structure of Ag2Te2F.

Geometry as POSCAR:
```
Ag2Te2F
1.0
5.122 0.000 0.000
1.851 4.814 0.000
1.180 0.688 5.052
Ag Te F
2 2 1
direct
0.169 0.162 0.278
0.831 0.838 0.722
0.338 0.342 0.657
0.662 0.658 0.343
0.000 0.000 0.000
```

Properties
E_tot: -3.199 eV/atom
Fermi-level density of states: 1.3 states/eV per cell
Relative energy among the computed polymorphs: 64 meV per atom
Raw formation energy: -0.427 eV/atom
V: 24.91 A^3/atom

Entry 9:
## Ag2Te2F (GGA-PBE)

Data for an optimized crystal structure of Ag2Te2F.

Geometry as POSCAR:
```
Ag2Te2F
1.0
-1.603 2.926 5.923
1.603 -2.926 5.923
1.603 2.926 -5.923
Ag Te F
2 2 1
direct
0.152 0.152 0.000
0.848 0.848 0.000
0.363 0.863 0.500
0.637 0.137 0.500
0.000 0.500 0.500
```

Properties
E_tot: -3.178 eV/atom
Fermi-level density of states: 3.8 states/eV per cell
Relative energy among the computed polymorphs: 85 meV per atom
Raw formation energy: -0.407 eV/atom
V: 22.23 A^3/atom

Entry 10:
## Ag2Te2F (GGA-PBE)

Data for an optimized crystal structure of Ag2Te2F.

Geometry as POSCAR:
```
Ag2Te2F
1.0
4.639 0.000 0.000
2.046 5.975 0.000
2.215 0.736 8.657
Ag Te F
4 4 2
direct
0.000 0.000 0.000
0.136 0.401 0.650
0.506 0.656 0.345
0.786 0.107 0.620
0.097 0.373 0.354
0.438 0.274 0.902
0.554 0.709 0.830
0.916 0.935 0.327
0.305 0.766 0.650
0.759 0.656 0.021
```

Properties
E_tot: -3.263 eV/atom
Fermi-level density of states: 0.9 states/eV per cell
Relative energy among the computed polymorphs: 0 meV per atom
Raw formation energy: -0.491 eV/atom
V: 24.00 A^3/atom

Entry 11:
## Ag2Te2F (GGA-PBE)

Data for an optimized crystal structure of Ag2Te2F.

Geometry as POSCAR:
```
Ag2Te2F
1.0
5.835 0.000 0.000
-2.868 5.842 0.000
-0.027 -0.130 6.723
Ag Te F
4 4 2
direct
0.012 0.023 0.274
0.318 0.642 0.087
0.682 0.358 0.913
0.988 0.977 0.726
0.231 0.462 0.468
0.458 0.916 0.757
0.542 0.084 0.243
0.769 0.538 0.532
0.136 0.286 0.952
0.864 0.714 0.048
```

Properties
E_tot: -3.209 eV/atom
Fermi-level density of states: 2.4 states/eV per cell
Relative energy among the computed polymorphs: 54 meV per atom
Raw formation energy: -0.438 eV/atom
V: 22.92 A^3/atom

Entry 12:
## Ag4TeF10 (GGA-PBE)

Data for an optimized crystal structure of Ag4TeF10.

Geometry as POSCAR:
```
Ag4TeF10
1.0
-4.421 4.421 2.779
4.421 -4.421 2.779
4.421 4.421 -2.779
Ag Te F
4 1 10
direct
0.088 0.305 0.393
0.305 0.912 0.216
0.695 0.088 0.784
0.912 0.695 0.607
0.500 0.500 0.000
0.104 0.150 0.716
0.150 0.434 0.047
0.250 0.750 0.500
0.387 0.104 0.953
0.434 0.387 0.284
0.566 0.613 0.716
0.613 0.896 0.047
0.750 0.250 0.500
0.850 0.566 0.953
0.896 0.850 0.284
```

Properties
E_tot: -3.609 eV/atom
Fermi-level density of states: 5.6 states/eV per cell
Raw formation energy: -1.392 eV/atom
V: 14.48 A^3/atom

Entry 13:
## Ag2Te2F (GGA-PBE)

Data for an optimized crystal structure of Ag2Te2F.

Geometry as POSCAR:
```
Ag2Te2F
1.0
5.954 0.000 0.000
-2.671 6.104 0.000
-0.596 -3.446 6.496
Ag Te F
4 4 2
direct
0.000 0.000 0.000
0.029 0.634 0.567
0.492 0.050 0.934
0.928 0.529 0.016
0.162 0.960 0.378
0.380 0.431 0.999
0.549 0.665 0.660
0.639 0.895 0.393
0.797 0.204 0.259
0.830 0.275 0.658
```

Properties
E_tot: -3.213 eV/atom
Fermi-level density of states: 0.2 states/eV per cell
Relative energy among the computed polymorphs: 49 meV per atom
Raw formation energy: -0.442 eV/atom
V: 23.61 A^3/atom

Entry 14:
## Ag2TeF6 (GGA-PBE)

Data for an optimized crystal structure of Ag2TeF6.

Geometry as POSCAR:
```
Ag2TeF6
1.0
5.441 0.000 0.000
0.000 5.441 0.000
0.000 0.000 10.983
Ag Te F
4 2 12
direct
0.000 0.000 0.163
0.000 0.000 0.837
0.500 0.500 0.337
0.500 0.500 0.663
0.000 0.000 0.500
0.500 0.500 0.000
0.183 0.183 0.358
0.183 0.183 0.642
0.228 0.228 0.000
0.272 0.728 0.500
0.317 0.683 0.142
0.317 0.683 0.858
0.683 0.317 0.142
0.683 0.317 0.858
0.728 0.272 0.500
0.772 0.772 0.000
0.817 0.817 0.358
0.817 0.817 0.642
```

Properties
E_tot: -3.858 eV/atom
Fermi-level density of states: 0.0 states/eV per cell
Raw formation energy: -1.628 eV/atom
V: 18.07 A^3/atom

Entry 15:
## AgTeF5 (GGA-PBE)

Data for an optimized crystal structure of AgTeF5.

Geometry as POSCAR:
```
AgTeF5
1.0
4.929 -3.561 0.000
4.929 3.561 0.000
-3.976 0.000 7.772
Ag Te F
2 2 10
direct
0.002 0.998 0.750
0.998 0.002 0.250
0.500 0.500 0.000
0.500 0.500 0.500
0.208 0.787 0.002
0.213 0.792 0.498
0.263 0.271 0.381
0.271 0.263 0.881
0.495 0.505 0.750
0.505 0.495 0.250
0.729 0.737 0.119
0.737 0.729 0.619
0.787 0.208 0.502
0.792 0.213 0.998
```

Properties
E_tot: -3.947 eV/atom
Raw formation energy: -1.754 eV/atom
V: 19.49 A^3/atom

Entry 16:
## Ag2Te2F (GGA-PBE)

Data for an optimized crystal structure of Ag2Te2F.

Geometry as POSCAR:
```
Ag2Te2F
1.0
5.814 0.000 0.000
0.000 3.193 0.000
-2.086 0.000 6.045
Ag Te F
2 2 1
direct
0.079 0.000 0.307
0.921 0.000 0.693
0.434 0.000 0.743
0.566 0.000 0.257
0.000 0.500 0.000
```

Properties
E_tot: -3.193 eV/atom
Fermi-level density of states: 1.8 states/eV per cell
Relative energy among the computed polymorphs: 70 meV per atom
Raw formation energy: -0.421 eV/atom
V: 22.44 A^3/atom

Entry 17:
## Ag2Te2F (GGA-PBE)

Data for an optimized crystal structure of Ag2Te2F.

Geometry as POSCAR:
```
Ag2Te2F
1.0
5.726 0.000 0.000
0.089 6.316 0.000
0.423 0.200 6.572
Ag Te F
4 4 2
direct
0.000 0.000 0.000
0.047 0.220 0.591
0.413 0.130 0.261
0.509 0.530 0.033
0.041 0.393 0.155
0.082 0.645 0.750
0.560 0.125 0.670
0.597 0.683 0.614
0.102 0.835 0.464
0.640 0.854 0.141
```

Properties
E_tot: -3.173 eV/atom
Fermi-level density of states: 0.3 states/eV per cell
Relative energy among the computed polymorphs: 90 meV per atom
Raw formation energy: -0.401 eV/atom
V: 23.76 A^3/atom

Entry 18:
## Ag2TeF (GGA-PBE)

Data for an optimized crystal structure of Ag2TeF.

Geometry as POSCAR:
```
Ag2TeF
1.0
4.387 0.000 0.000
-0.281 6.444 0.000
-1.988 -0.105 6.251
Ag Te F
4 2 2
direct
0.000 0.000 0.000
0.069 0.931 0.455
0.402 0.370 0.643
0.795 0.350 0.271
0.238 0.624 0.203
0.974 0.621 0.734
0.500 0.139 0.952
0.601 0.109 0.472
```

Properties
E_tot: -3.182 eV/atom
Fermi-level density of states: 0.8 states/eV per cell
Relative energy among the computed polymorphs: 0 meV per atom
Raw formation energy: -0.503 eV/atom
V: 22.09 A^3/atom

Entry 19:
## Ag2Te2F (GGA-PBE)

Data for an optimized crystal structure of Ag2Te2F.

Geometry as POSCAR:
```
Ag2Te2F
1.0
5.294 0.000 0.000
2.271 4.793 0.000
2.607 0.660 4.839
Ag Te F
2 2 1
direct
0.000 0.000 0.000
0.427 0.634 0.573
0.035 0.187 0.413
0.465 0.488 0.104
0.805 0.717 0.884
```

Properties
E_tot: -3.194 eV/atom
Fermi-level density of states: 1.9 states/eV per cell
Relative energy among the computed polymorphs: 68 meV per atom
Raw formation energy: -0.423 eV/atom
V: 24.56 A^3/atom

Entry 20:
## Ag2TeF (GGA-PBE)

Data for an optimized crystal structure of Ag2TeF.

Geometry as POSCAR:
```
Ag2TeF
1.0
1.970 1.137 7.714
-1.970 1.137 7.714
0.000 -2.275 7.714
Ag Te F
2 1 1
direct
0.093 0.093 0.093
0.907 0.907 0.907
0.500 0.500 0.500
0.000 0.000 0.000
```

Properties
E_tot: -3.125 eV/atom
Fermi-level density of states: 1.7 states/eV per cell
Relative energy among the computed polymorphs: 57 meV per atom
Raw formation energy: -0.446 eV/atom
V: 25.93 A^3/atom